No. 1
The following is a GGA-PBEsol calculation of a relaxed structure of AgSn3Ir, from the Alexandria database.

Summary:
Size of the total moment   0.0 μB/f.u.
Theoretical density   8.35 g/cm3
E_tot   -4.844 eV/atom

Unit cell a=5.0725 b=5.0725 c=5.0725 alpha=90.00 beta=90.00 gamma=90.00
With the nearest neighbours (Å) after each atom.
Space group Pm-3m (No. 221)
Unique sites:
Ag  0.0000  0.0000  0.0000 [1 per cell]  12 Sn 3.59
Sn  0.0000  0.5000  0.5000 [3 per cell]  2 Ir 2.54
Ir  0.5000  0.5000  0.5000 [1 per cell]  6 Sn 2.54

***

No. 2
The following is a GGA-PBEsol calculation of a relaxed structure of LiZr2P3O12, from the Alexandria database.

Summary:
Size of the total moment   0.0 μB/f.u.
Theoretical density   3.11 g/cm3
E_tot   -8.325 eV/atom
Energy relative to the elements, uncorrected   -2.74 eV per atom

Unit cell a=15.2954 b=9.0073 c=9.0007 alpha=90.00 beta=125.26 gamma=90.00
With the nearest neighbours (Å) after each atom.
Space group C2 (No. 5)
Unique sites:
Li  0.2438  0.0000  0.1938 [4 per cell]  4 O 2.02-2.17
Zr  0.1102  0.1727  0.8253 [4 per cell]  6 O 2.03-2.11
Zr  0.1124  0.6699  0.3317 [4 per cell]  6 O 2.04-2.10
P  0.0000  0.8882  0.5000 [2 per cell]  4 O 1.53-1.54
P  0.0000  0.9538  0.0000 [2 per cell]  4 O 1.53-1.55
P  0.1425  0.5215  0.0010 [4 per cell]  4 O 1.53-1.56
P  0.1481  0.3192  0.5156 [4 per cell]  4 O 1.53-1.56
O  0.0366  0.2631  0.3642 [4 per cell]  1 P 1.53
O  0.0373  0.5824  0.8340 [4 per cell]  1 P 1.54
O  0.0689  0.8588  0.1711 [4 per cell]  1 P 1.53
O  0.0692  0.9886  0.6675 [4 per cell]  1 P 1.54
O  0.0734  0.7885  0.4790 [4 per cell]  1 P 1.53
O  0.0801  0.0529  0.9918 [4 per cell]  1 P 1.55
O  0.1444  0.3513  0.9907 [4 per cell]  1 P 1.54
O  0.1560  0.5685  0.1762 [4 per cell]  1 P 1.53
O  0.1591  0.4899  0.5118 [4 per cell]  1 P 1.55
O  0.1731  0.2930  0.7075 [4 per cell]  1 P 1.56
O  0.2312  0.2422  0.4997 [4 per cell]  1 P 1.53
O  0.2352  0.5824  0.9927 [4 per cell]  1 P 1.56

***

No. 3
The following is a GGA-PBEsol calculation of a relaxed structure of BaMn, from the Alexandria database.

Summary:
Size of the total moment   4.4 μB/f.u.
Theoretical density   5.50 g/cm3
E_tot   -5.054 eV/atom

Unit cell a=7.7461 b=7.7461 c=7.7461 alpha=90.00 beta=90.00 gamma=90.00
With the nearest neighbours (Å) after each atom.
Space group Fd-3m (No. 227, origin choice 2)
Unique sites:
Ba  0.1250  0.1250  0.1250 [8 per cell]  4 Ba 3.35, 4 Mn 3.35
Mn  0.1250  0.1250  0.6250 [8 per cell]  4 Ba 3.35, 4 Mn 3.35

***

No. 4
The following is a GGA-PBEsol calculation of a relaxed structure of CsLiSc2H, from the Alexandria database.

Summary:
Size of the total moment   1.1 μB/f.u.
Theoretical density   3.20 g/cm3
E_tot   -3.529 eV/atom

Unit cell a=4.4570 b=4.4570 c=6.0214 alpha=90.00 beta=90.00 gamma=90.00
With the nearest neighbours (Å) after each atom.
Space group P4/mmm (No. 123)
Unique sites:
Cs  0.0000  0.0000  0.0000 [1 per cell]  2 H 3.01, 4 Li 3.15
Li  0.5000  0.5000  0.0000 [1 per cell]  4 Cs 3.15
Sc  0.0000  0.5000  0.5000 [2 per cell]  2 H 2.23
H  0.0000  0.0000  0.5000 [1 per cell]  4 Sc 2.23

***

No. 5
The following is a GGA-PBEsol calculation of a relaxed structure of LaSe2Cl, from the Alexandria database.

Summary:
Size of the total moment   0.0 μB/f.u.
Theoretical density   5.39 g/cm3
E_tot   -5.285 eV/atom
Energy relative to the elements, uncorrected   -1.52 eV per atom

Unit cell a=10.0473 b=4.1060 c=5.1133 alpha=90.00 beta=103.91 gamma=90.00
With the nearest neighbours (Å) after each atom.
Space group Cm (No. 8)
Unique sites:
La  0.0000  0.0000  0.0000 [2 per cell]  3 Cl 2.96-2.99, 4 Se 2.97-3.10
Se  0.1736  0.5000  0.3382 [2 per cell]  1 Se 2.36
Se  0.4853  0.0000  0.5393 [2 per cell]  1 Se 2.36
Cl  0.2820  0.0000  0.9028 [2 per cell]  3 La 2.96-2.99, 1 Se 3.07

***

No. 6
The following is a GGA-PBEsol calculation of a relaxed structure of AlSb2Pb, from the Alexandria database.

Summary:
Size of the total moment   0.0 μB/f.u.
Theoretical density   7.71 g/cm3
E_tot   -4.088 eV/atom
Energy relative to the elements, uncorrected   0.21 eV per atom

Unit cell a=6.7463 b=9.0942 c=3.3521 alpha=90.00 beta=90.00 gamma=90.00
With the nearest neighbours (Å) after each atom.
Space group Cmmm (No. 65)
Unique sites:
Al  0.0000  0.0000  0.0000 [2 per cell]  8 Sb 3.29, 2 Al 3.35, 2 Pb 3.37
Sb  0.2500  0.2500  0.5000 [4 per cell]  4 Pb 3.29, 4 Al 3.29, 4 Sb 3.35-3.37
Pb  0.0000  0.5000  0.0000 [2 per cell]  8 Sb 3.29, 2 Pb 3.35, 2 Al 3.37